Entry 1:
Density functional theory data (PBE) for a relaxed structure of TbPm3Cu2. Values from VASP.

**D(E_F)**: 1.009 states/eV/atom
**Excess energy over the best structure of this formula in the dataset**: 0 meV per atom
**ΔH_f (0 K)**: -0.70 eV per formula unit

Quantum ESPRESSO input file:
```
&SYSTEM
  ibrav = 0, nat = 12, ntyp = 3
/
ATOMIC_SPECIES
Tb 158.93 Tb.upf
Cu 63.55 Cu.upf
Pm 145.00 Pm.upf
ATOMIC_POSITIONS angstrom
Tb -4.5129 -4.5167 -2.1571
Cu -5.7479 -7.0808 -2.5273
Pm -6.4355 -4.6248 0.7276
Pm -2.0235 -2.5356 -4.2514
Cu -3.3437 -5.0695 0.6666
Cu -2.4872 -0.8280 -2.0106
Tb -4.2736 -1.5489 0.1168
Cu -1.0297 -5.2613 -3.0922
Pm 0.7751 -4.5277 -5.2368
Pm -2.6697 -7.5372 -2.5777
Pm -1.4812 -3.5374 -0.8559
Pm -4.5938 -7.6572 0.2987
CELL_PARAMETERS angstrom
-3.7886 2.1776 -2.4435
1.2225 -4.0862 -5.5370
-5.6321 -6.1234 3.2755
```

***

Entry 2:
Density functional theory data (PBE) for a relaxed structure of PrDyGe2Pd5. Values from VASP.

**D(E_F)**: 0.293 states/eV/atom
**ΔH_f (0 K)**: -7.04 eV per formula unit

Quantum ESPRESSO input file:
```
&SYSTEM
  ibrav = 0, nat = 9, ntyp = 4
/
ATOMIC_SPECIES
Ge 72.64 Ge.upf
Pd 106.42 Pd.upf
Pr 140.91 Pr.upf
Dy 162.50 Dy.upf
ATOMIC_POSITIONS angstrom
Ge 1.0380 -3.0622 0.4878
Pd -2.0513 -4.0078 5.3796
Pr -2.6083 -2.2286 3.0195
Pd -3.8365 -4.9720 3.1258
Pd -0.8723 -4.6944 2.6992
Ge -2.7825 -6.3265 4.9106
Pd -1.4293 -2.9152 0.3391
Dy 0.0000 0.0000 0.0000
Pd 0.3560 -1.9510 2.5929
CELL_PARAMETERS angstrom
-0.0492 -3.4300 -2.5741
3.5213 -1.5016 1.9335
-5.2166 -4.4572 6.0389
```